## Pa2VCo12P3 (PBE)

Data for crystalline Pa2VCo12P3 at its relaxed geometry.

Calculated values
The calculation puts the density of states at the Fermi level at 18.0 states/eV/cell. The symmetry is No. 166. As for the energy: -0.5368 Ry/atom. The formation energy comes out at -0.1032 eV per atom.

Cell lengths 6.187, 6.187, 6.187 Å; angles 82.63, 82.63, 82.63 degrees
Sites, in units of the cell vectors:
Pa1 0.143 0.143 0.143
Pa2 0.857 0.857 0.857
V1 0.500 0.500 0.500
Co1 0.126 0.126 0.601
Co2 0.126 0.601 0.126
Co3 0.174 0.685 0.685
Co4 0.315 0.315 0.826
Co5 0.315 0.826 0.315
Co6 0.399 0.874 0.874
Co7 0.601 0.126 0.126
Co8 0.685 0.174 0.685
Co9 0.685 0.685 0.174
Co10 0.826 0.315 0.315
Co11 0.874 0.399 0.874
Co12 0.874 0.874 0.399
P1 0.000 0.500 0.500
P2 0.500 0.000 0.500
P3 0.500 0.500 0.000